3
Lattice="0.0000 3.2148 3.2148 3.2148 0.0000 3.2148 3.2148 3.2148 0.0000" Properties=species:S:1:pos:R:3 comment="ThZnRe (PBE-GGA, optimized geometry)" final_energy_ev_per_cell=-19.521 pbc="T T T"
Re 1.6074 1.6074 1.6074
Th 4.8221 4.8221 4.8221
Zn 0.0000 0.0000 0.0000